## CaMg2Ni (PBE)

Data for crystalline CaMg2Ni at its relaxed geometry.

abc: 5.6796 5.6796 5.6796
angles: 142.28 127.38 66.54
Sites, in units of the cell vectors:
1 Ni 0.5163 0.5163 0.0000
2 Ca 0.2872 0.7872 0.5000
3 Mg 0.7020 0.2020 0.5000
4 Mg 0.9944 0.9944 0.0000

Summary:
spin magnetization	0.00	μB per cell
ρ	2.79	g cm⁻³
DOS(E_F)	2.57	states/eV/cell
ΔH_f (0 K)	0.06	eV per atom